No. 1
DFT (GGA-PBE) results for an optimized crystal structure of Dy3Ho4Zr.

a b c (Å): 6.1480 7.1271 11.0768
angles (deg): 90.00 90.00 90.00
With the nearest neighbours (Å) after each atom.
Atoms (fractional coordinates):
1 Dy 0.6469 0.6177 0.0000  4 Dy 3.41-3.43, 6 Ho 3.46-3.67, 2 Zr 3.51-3.55
2 Dy 0.9750 0.6208 0.2481  4 Dy 3.41-3.52, 2 Zr 3.43, 6 Ho 3.45-3.62
3 Dy 0.4750 0.3792 0.2519  4 Dy 3.41-3.52, 2 Zr 3.43, 6 Ho 3.45-3.62
4 Dy 0.1469 0.3823 0.5000  4 Dy 3.41-3.43, 6 Ho 3.46-3.67, 2 Zr 3.51-3.55
5 Dy 0.4750 0.3792 0.7481  4 Dy 3.41-3.52, 2 Zr 3.43, 6 Ho 3.45-3.62
6 Dy 0.9750 0.6208 0.7519  4 Dy 3.41-3.52, 2 Zr 3.43, 6 Ho 3.45-3.62
7 Ho 0.1480 0.8733 0.0000  6 Ho 3.41-3.60, 4 Dy 3.45-3.58, 2 Zr 3.55-3.58
8 Ho 0.6452 0.1320 0.0000  6 Ho 3.42-3.60, 4 Dy 3.46-3.67, 2 Zr 3.50-3.56
9 Ho 0.9871 0.1291 0.2440  1 Zr 3.37, 6 Ho 3.41-3.59, 5 Dy 3.49-3.62
10 Ho 0.4871 0.8709 0.2560  1 Zr 3.37, 6 Ho 3.41-3.59, 5 Dy 3.49-3.62
11 Ho 0.1452 0.8680 0.5000  6 Ho 3.42-3.60, 4 Dy 3.46-3.67, 2 Zr 3.50-3.56
12 Ho 0.6480 0.1267 0.5000  6 Ho 3.41-3.60, 4 Dy 3.45-3.58, 2 Zr 3.55-3.58
13 Ho 0.4871 0.8709 0.7440  1 Zr 3.37, 6 Ho 3.41-3.59, 5 Dy 3.49-3.62
14 Ho 0.9871 0.1291 0.7560  1 Zr 3.37, 6 Ho 3.41-3.59, 5 Dy 3.49-3.62
15 Zr 0.1510 0.3749 0.0000  6 Ho 3.37-3.58, 6 Dy 3.43-3.55
16 Zr 0.6510 0.6251 0.5000  6 Ho 3.37-3.58, 6 Dy 3.43-3.55

Values from the calculation:
- crystal system = orthorhombic
- calculated formation energy (kJ per mole of atoms) = 4



No. 2
DFT (GGA-PBE) results for an optimized crystal structure of Ba3C.

a b c (Å): 6.4852 6.4852 6.4852
angles (deg): 90.00 90.00 90.00
With the nearest neighbours (Å) after each atom.
Atoms (fractional coordinates):
1 Ba 0.7500 0.5000 0.0000  2 Ba 3.24, 4 C 3.63
2 Ba 0.2500 0.5000 0.0000  2 Ba 3.24, 4 C 3.63
3 Ba 0.0000 0.7500 0.5000  2 Ba 3.24, 4 C 3.63
4 Ba 0.0000 0.2500 0.5000  2 Ba 3.24, 4 C 3.63
5 Ba 0.5000 0.0000 0.2500  2 Ba 3.24, 4 C 3.63
6 Ba 0.5000 0.0000 0.7500  2 Ba 3.24, 4 C 3.63
7 C 0.0000 0.0000 0.0000  12 Ba 3.63
8 C 0.5000 0.5000 0.5000  12 Ba 3.63

Values from the calculation:
- crystal system = cubic
- calculated formation energy (kJ per mole of atoms) = 123



No. 3
DFT (GGA-PBE) results for an optimized crystal structure of ZnPbCl4.

a b c (Å): 3.9240 7.0699 12.6757
angles (deg): 91.56 90.00 90.00
With the nearest neighbours (Å) after each atom.
Atoms (fractional coordinates):
1 Zn 0.5000 0.5000 0.5000  6 Cl 2.44-2.60
2 Zn 0.0000 0.0000 0.0000  6 Cl 2.44-2.60
3 Pb 0.0000 0.0000 0.5000  6 Cl 2.90
4 Pb 0.5000 0.5000 0.0000  6 Cl 2.90
5 Cl 0.5001 0.2171 0.3855  1 Zn 2.44
6 Cl 0.0001 0.2829 0.1145  1 Zn 2.44
7 Cl 0.4999 0.7829 0.6145  1 Zn 2.44
8 Cl 0.9999 0.7171 0.8855  1 Zn 2.44
9 Cl 0.9966 0.6333 0.3909  2 Zn 2.58-2.60
10 Cl 0.4966 0.8667 0.1091  2 Zn 2.58-2.60
11 Cl 0.0034 0.3667 0.6091  2 Zn 2.58-2.60
12 Cl 0.5034 0.1333 0.8909  2 Zn 2.58-2.60

Values from the calculation:
- crystal system = monoclinic
- energy relative to the elements, uncorrected (meV/atom) = -1060



Number 1: energy above the most stable polymorph in this dataset 0 meV per atom, volume 485.4 Å³/cell, total magnetization 0.001 μB/atom. Number 2: energy above the most stable polymorph in this dataset 897 meV per atom, volume 272.8 Å³/cell, total magnetization 0.000 μB/atom. Number 3: energy above the most stable polymorph in this dataset 73 meV per atom, volume 351.5 Å³/cell, total magnetization 0.000 μB/atom.